Entry 1:
Density functional theory data (PBE) for crystalline ErGa3Cu2 at its relaxed geometry.

abc: 8.288 8.288 9.629
angles: 103.81 103.81 28.30
Positions (direct):
Er 0.000 0.000 0.000
Er 0.155 0.155 0.706
Er 0.845 0.845 0.294
Ga 0.050 0.050 0.355
Ga 0.219 0.219 0.362
Ga 0.353 0.353 0.063
Ga 0.366 0.366 0.810
Ga 0.500 0.500 0.500
Ga 0.634 0.634 0.190
Ga 0.647 0.647 0.937
Ga 0.781 0.781 0.638
Ga 0.950 0.950 0.645
Cu 0.205 0.205 0.086
Cu 0.353 0.353 0.545
Cu 0.488 0.488 0.234
Cu 0.512 0.512 0.766
Cu 0.647 0.647 0.455
Cu 0.795 0.795 0.914

Results
- Magnetization: 0.00 Bohr magnetons per cell
- Energy relative to the elements: -216 kJ/mol of formula units

Entry 2:
Density functional theory data (PBE) for crystalline PuBeOsN at its relaxed geometry.

abc: 3.637 3.637 8.272
angles: 90.00 90.00 90.00
Positions (direct):
Pu 0.250 0.250 0.156
Pu 0.750 0.750 0.844
Be 0.250 0.250 0.686
Be 0.750 0.750 0.314
Os 0.250 0.750 0.500
Os 0.750 0.250 0.500
N 0.250 0.250 0.882
N 0.750 0.750 0.118

Results
- Magnetization: 9.48 Bohr magnetons per cell
- Raw formation energy: -645 meV per atom

Entry 3:
Density functional theory data (PBE) for crystalline Ac7TlPb2N2 at its relaxed geometry.

abc: 14.528 14.528 14.528
angles: 158.89 158.89 30.02
Positions (direct):
Ac 0.000 0.000 0.000
Ac 0.095 0.595 0.500
Ac 0.195 0.195 0.000
Ac 0.405 0.905 0.500
Ac 0.595 0.095 0.500
Ac 0.805 0.805 0.000
Ac 0.905 0.405 0.500
Tl 0.500 0.500 0.000
Pb 0.320 0.320 0.000
Pb 0.680 0.680 0.000
N 0.101 0.101 0.000
N 0.899 0.899 0.000

Results
- Magnetization: 0.00 Bohr magnetons per cell
- Raw formation energy: -670 meV per atom

Entry 4:
Density functional theory data (PBE) for crystalline LiCa2Cr at its relaxed geometry.

abc: 3.859 5.437 5.439
angles: 90.00 90.00 90.00
Positions (direct):
Li 0.000 0.000 0.000
Ca 0.500 0.000 0.500
Ca 0.500 0.500 0.999
Cr 0.000 0.500 0.498

Results
- Magnetization: 4.65 Bohr magnetons per cell
- Energy relative to the elements: 136 kJ/mol of formula units

Entry 5:
Density functional theory data (PBE) for crystalline YSc3In at its relaxed geometry.

abc: 9.275 9.275 6.185
angles: 100.87 100.87 82.39
Positions (direct):
Y 0.031 0.178 0.460
Y 0.178 0.031 0.960
Y 0.822 0.969 0.040
Y 0.969 0.822 0.540
Sc 0.093 0.703 0.038
Sc 0.124 0.491 0.357
Sc 0.226 0.378 0.858
Sc 0.297 0.907 0.462
Sc 0.378 0.226 0.358
Sc 0.491 0.124 0.857
Sc 0.509 0.876 0.143
Sc 0.622 0.774 0.642
Sc 0.703 0.093 0.538
Sc 0.774 0.622 0.142
Sc 0.876 0.509 0.643
Sc 0.907 0.297 0.962
In 0.328 0.672 0.750
In 0.418 0.582 0.250
In 0.582 0.418 0.750
In 0.672 0.328 0.250

Results
- Magnetization: 0.00 Bohr magnetons per cell
- Energy relative to the elements: -40 kJ/mol of formula units
- Energy relative to the lowest polymorph listed for this composition: 0.18 eV per formula unit

Entry 6:
Density functional theory data (PBE) for crystalline Sr3Te2O at its relaxed geometry.

abc: 7.618 7.618 8.922
angles: 101.23 101.23 51.89
Positions (direct):
Sr 0.088 0.912 0.750
Sr 0.334 0.387 0.362
Sr 0.387 0.334 0.862
Sr 0.613 0.666 0.138
Sr 0.666 0.613 0.638
Sr 0.912 0.088 0.250
Te 0.155 0.188 0.061
Te 0.188 0.155 0.561
Te 0.812 0.845 0.439
Te 0.845 0.812 0.939
O 0.441 0.559 0.750
O 0.559 0.441 0.250

Results
- Magnetization: 0.00 Bohr magnetons per cell
- Energy relative to the lowest polymorph listed for this composition: 0.84 eV per formula unit
- Raw formation energy: -1902 meV per atom

Entry 7:
Density functional theory data (PBE) for crystalline Pa2GaGe3Pt4 at its relaxed geometry.

abc: 4.311 4.311 10.054
angles: 90.00 90.00 90.00
Positions (direct):
Pa 0.000 0.500 0.247
Pa 0.500 0.000 0.753
Ga 0.000 0.000 0.500
Ge 0.000 0.500 0.868
Ge 0.500 0.000 0.132
Ge 0.500 0.500 0.500
Pt 0.000 0.000 0.000
Pt 0.000 0.500 0.629
Pt 0.500 0.000 0.371
Pt 0.500 0.500 0.000

Results
- Magnetization: 0.00 Bohr magnetons per cell
- Energy relative to the elements: -725 kJ/mol of formula units

Entry 8:
Density functional theory data (PBE) for crystalline EuErIr at its relaxed geometry.

abc: 6.855 6.855 6.855
angles: 90.00 90.00 90.00
Positions (direct):
Eu 0.000 0.000 0.000
Eu 0.000 0.500 0.500
Eu 0.500 0.000 0.500
Eu 0.500 0.500 0.000
Er 0.000 0.000 0.500
Er 0.000 0.500 0.000
Er 0.500 0.000 0.000
Er 0.500 0.500 0.500
Ir 0.250 0.250 0.250
Ir 0.250 0.750 0.750
Ir 0.750 0.250 0.750
Ir 0.750 0.750 0.250

Results
- Magnetization: 28.06 Bohr magnetons per cell
- Energy relative to the elements: -150 kJ/mol of formula units
- Energy relative to the lowest polymorph listed for this composition: 0.00 eV per formula unit

Entry 9:
Density functional theory data (PBE) for crystalline Cs4TiTe4 at its relaxed geometry.

abc: 9.783 9.783 9.783
angles: 125.32 125.32 81.01
Positions (direct):
Cs 0.000 0.500 0.500
Cs 0.196 0.196 0.000
Cs 0.500 0.000 0.500
Cs 0.804 0.804 0.000
Ti 0.500 0.500 0.000
Te 0.227 0.227 0.661
Te 0.434 0.773 0.000
Te 0.566 0.566 0.339
Te 0.773 0.434 0.000

Results
- Magnetization: 0.00 Bohr magnetons per cell
- Energy relative to the lowest polymorph listed for this composition: 0.00 eV per formula unit
- Raw formation energy: -942 meV per atom

Entry 10:
Density functional theory data (PBE) for crystalline InCuH6Rh2 at its relaxed geometry.

abc: 5.709 5.709 5.444
angles: 95.60 95.60 98.82
Positions (direct):
In 0.165 0.835 0.750
In 0.835 0.165 0.250
Cu 0.406 0.594 0.250
Cu 0.594 0.406 0.750
H 0.104 0.562 0.322
H 0.180 0.274 0.568
H 0.274 0.180 0.068
H 0.345 0.505 0.909
H 0.438 0.896 0.178
H 0.495 0.655 0.591
H 0.505 0.345 0.409
H 0.562 0.104 0.822
H 0.655 0.495 0.091
H 0.726 0.820 0.932
H 0.820 0.726 0.432
H 0.896 0.438 0.678
Rh 0.087 0.319 0.850
Rh 0.319 0.087 0.350
Rh 0.681 0.913 0.650
Rh 0.913 0.681 0.150

Results
- Magnetization: 0.00 Bohr magnetons per cell
- DFT total energy: -4.11 eV per atom

Entry 11:
Density functional theory data (PBE) for crystalline Ba2LiNbMo at its relaxed geometry.

abc: 6.506 6.506 4.703
angles: 90.00 90.00 90.00
Positions (direct):
Ba 0.000 0.500 0.000
Ba 0.500 0.000 0.000
Li 0.000 0.000 0.500
Nb 0.500 0.500 0.000
Mo 0.500 0.500 0.500

Results
- Magnetization: 0.21 Bohr magnetons per cell
- Energy relative to the elements: 473 kJ/mol of formula units

Entry 12:
Density functional theory data (PBE) for crystalline PuGeAu3 at its relaxed geometry.

abc: 4.467 4.663 10.614
angles: 90.00 90.00 90.00
Positions (direct):
Pu 0.000 0.000 0.000
Pu 0.000 0.500 0.500
Ge 0.000 0.000 0.329
Ge 0.000 0.500 0.829
Au 0.000 0.000 0.704
Au 0.000 0.500 0.204
Au 0.500 0.000 0.194
Au 0.500 0.000 0.507
Au 0.500 0.500 0.007
Au 0.500 0.500 0.694

Results
- Magnetization: 10.97 Bohr magnetons per cell
- Energy relative to the elements: -71 kJ/mol of formula units
- Energy relative to the lowest polymorph listed for this composition: 0.79 eV per formula unit